Material: Ce7Fe2Pb3
Method: DFT, PBE
State: optimized geometry

Computed properties:
Formation energy from the elements = -312 meV per atom
DOS at the Fermi energy = 27.93 states/eV/f.u.

a = 4.867 Å, b = 4.995 Å, c = 13.442 Å
α = 100.71°, β = 89.99°, γ = 90.00°
Atoms (fractional coordinates):
Ce  0.998  0.000  0.000
Ce  0.995  0.397  0.794
Ce  0.498  0.901  0.802
Ce  0.999  0.788  0.577
Ce  0.998  0.603  0.206
Ce  0.499  0.099  0.198
Ce  0.000  0.212  0.423
Pb  0.498  0.309  0.618
Pb  0.499  0.500  0.000
Pb  0.499  0.691  0.382
Fe  0.003  0.102  0.205
Fe  0.013  0.898  0.795



Material: La2ReMo
Method: DFT, PBE
State: optimized geometry

Computed properties:
Energy above the most stable polymorph in this dataset = 53.7 kJ per mole of atoms
Formation energy from the elements = 735 meV per atom
DOS at the Fermi energy = 6.95 states/eV/f.u.

a = 4.777 Å, b = 3.147 Å, c = 5.749 Å
α = 84.06°, β = 90.00°, γ = 90.00°
Atoms (fractional coordinates):
La  0.000  0.499  0.501
La  0.000  0.001  0.999
Re  0.500  0.750  0.750
Mo  0.500  0.250  0.250



Material: LaThHgPt
Method: DFT, PBE
State: optimized geometry

Computed properties:
Formation energy from the elements = -618 meV per atom
DOS at the Fermi energy = 3.04 states/eV/f.u.

a = 5.296 Å, b = 5.296 Å, c = 5.296 Å
α = 60.00°, β = 60.00°, γ = 60.00°
Atoms (fractional coordinates):
Hg  0.500  0.500  0.500
Th  0.250  0.250  0.250
Pt  0.000  0.000  0.000
La  0.750  0.750  0.750



Material: K2GeAu2
Method: DFT, PBE
State: optimized geometry

Computed properties:
Energy above the most stable polymorph in this dataset = 0.0 kJ per mole of atoms
Formation energy from the elements = -238 meV per atom
DOS at the Fermi energy = 1.58 states/eV/f.u.

a = 5.822 Å, b = 4.427 Å, c = 6.573 Å
α = 70.32°, β = 63.71°, γ = 90.00°
Atoms (fractional coordinates):
Au  0.746  0.500  0.000
Au  0.254  0.500  0.000
K  0.700  0.200  0.600
K  0.300  0.800  0.400
Ge  0.000  0.000  0.000



Material: Cs4I3Cl12
Method: DFT, PBE
State: optimized geometry

Computed properties:
E_form (uncorrected) = -0.933 eV per atom
DOS at the Fermi energy = 8.32 states/eV/f.u.

a = 10.659 Å, b = 10.659 Å, c = 10.659 Å
α = 109.47°, β = 109.47°, γ = 109.47°
Atoms (fractional coordinates):
I  0.500  0.500  0.000
I  0.000  0.500  0.500
I  0.500  0.000  0.500
Cs  0.000  0.500  0.000
Cs  0.000  0.000  0.500
Cs  0.500  0.500  0.500
Cs  0.500  0.000  0.000
Cl  0.655  0.799  0.143
Cl  0.512  0.857  0.655
Cl  0.488  0.143  0.345
Cl  0.857  0.655  0.512
Cl  0.857  0.345  0.201
Cl  0.201  0.857  0.345
Cl  0.655  0.512  0.857
Cl  0.799  0.143  0.655
Cl  0.143  0.345  0.488
Cl  0.345  0.488  0.143
Cl  0.143  0.655  0.799
Cl  0.345  0.201  0.857



Material: Tm4Sb2TeAs
Method: DFT, PBE
State: optimized geometry

Computed properties:
E_form (uncorrected) = -1.228 eV per atom
DOS at the Fermi energy = 1.50 states/eV/f.u.

a = 4.254 Å, b = 7.396 Å, c = 7.372 Å
α = 109.29°, β = 90.00°, γ = 90.00°
Atoms (fractional coordinates):
Tm  0.500  0.766  0.760
Tm  0.000  0.763  0.249
Tm  0.000  0.237  0.751
Tm  0.500  0.234  0.240
Sb  0.000  0.500  0.500
Sb  0.500  0.000  0.500
As  0.000  0.000  0.000
Te  0.500  0.500  0.000